1.
Compound: TlTePbAu
Source: Alexandria
Functional: PBE-GGA
Structure: optimized geometry

Structure (CIF):
```
data_TlTePbAu
_cell_length_a 7.748
_cell_length_b 7.748
_cell_length_c 7.748
_cell_angle_alpha 90.00
_cell_angle_beta 90.00
_cell_angle_gamma 90.00
_space_group_name_H-M_alt 'F -4 3 m'
_space_group_IT_number 216
_space_group_name_Hall 'F -4 2 3'
loop_
_atom_site_label
_atom_site_type_symbol
_atom_site_fract_x
_atom_site_fract_y
_atom_site_fract_z
Tl1 Tl 0.000 0.000 0.000
Te1 Te 0.250 0.250 0.750
Pb1 Pb 0.000 0.000 0.500
Au1 Au 0.250 0.250 0.250
```

2.
# TlAsIrPbAuCl, optimized geometry, DFT PBE-GGA
data_TlAsIrPbAuCl
_cell_length_a 5.802
_cell_length_b 3.924
_cell_length_c 7.613
_cell_angle_alpha 90.00
_cell_angle_beta 112.25
_cell_angle_gamma 90.00
_space_group_name_H-M_alt 'P 1 m 1'
_space_group_IT_number 6
loop_
_space_group_symop_operation_xyz
'x,y,z'
'x,-y,z'
loop_
_atom_site_label
_atom_site_type_symbol
_atom_site_fract_x
_atom_site_fract_y
_atom_site_fract_z
Tl1 Tl 0.000 0.000 0.000
As1 As 0.624 0.500 0.656
Ir1 Ir 0.037 0.500 0.678
Pb1 Pb 0.787 0.000 0.381
Au1 Au 0.328 0.000 0.592
Cl1 Cl 0.404 0.500 0.982
# E above lowest polymorph = 223.5 meV/atom

| no. | raw formation energy (eV per atom) |
| --- | --- |
| 1 | -0.033 |
| 2 | -0.013 |